DFT (GGA-PBE) results for crystalline Zn2HgN at its relaxed geometry.

Output
E above lowest polymorph: 0.799 eV/atom
Calculated total energy: -1.83 eV/atom
Crystal system: cubic
Raw formation energy: 0.96 eV per atom

a = 4.414 Å, b = 4.414 Å, c = 4.414 Å
α = 60.00°, β = 60.00°, γ = 60.00°
Fractional coordinates of all 4 atoms:
Zn1 0.250 0.250 0.250
Zn2 0.750 0.750 0.750
Hg1 0.000 0.000 0.000
N1 0.500 0.500 0.500

DFT (GGA-PBE) results for crystalline Sm2DyC2I2 at its relaxed geometry.

Output
Calculated total energy: -5.55 eV/atom
Crystal system: tetragonal
Raw formation energy: -0.47 eV per atom

a = 10.403 Å, b = 10.403 Å, c = 10.403 Å
α = 155.07°, β = 155.07°, γ = 35.54°
Fractional coordinates of all 7 atoms:
Sm1 0.078 0.078 0.000
Sm2 0.922 0.922 0.000
Dy1 0.500 0.500 0.000
C1 0.000 0.500 0.500
C2 0.500 0.000 0.500
I1 0.337 0.337 0.000
I2 0.663 0.663 0.000